(P)
A plane-wave DFT calculation with GGA-PBE was carried out for a relaxed RePt2 crystal.

Lattice parameters (Å, degrees): 2.792 2.792 6.820 90.00 90.00 120.00
Sites, in units of the cell vectors:
Re (0.667, 0.333, 0.333)
Pt (0.000, 0.000, 0.010)
Pt (0.333, 0.667, 0.656)

Summary:
As for the space-group type: No. 164.


(Q)
A plane-wave DFT calculation with GGA-PBE was carried out for a relaxed RePt2 crystal.

Lattice parameters (Å, degrees): 5.338 5.338 6.594 75.49 75.49 30.52
Sites, in units of the cell vectors:
Re (0.939, 0.939, 0.619)
Re (0.283, 0.283, 0.937)
Pt (0.996, 0.996, 0.995)
Pt (0.614, 0.614, 0.274)
Pt (0.337, 0.337, 0.339)
Pt (0.666, 0.666, 0.670)

Summary:
As for the space-group type: No. 8.


(P) wins, 4.8 kJ/mol of atoms ahead of the next structure.


(P)
A plane-wave DFT calculation with GGA-PBE was carried out for a relaxed RePt2 crystal.

Lattice parameters (Å, degrees): 4.463 4.463 5.465 90.00 90.00 120.00
Sites, in units of the cell vectors:
Re (0.333, 0.667, 0.750)
Re (0.667, 0.333, 0.250)
Pt (0.000, 0.000, 0.000)
Pt (0.000, 0.000, 0.500)
Pt (0.333, 0.667, 0.250)
Pt (0.667, 0.333, 0.750)

Summary:
As for the space-group type: No. 194.


(Q)
A plane-wave DFT calculation with GGA-PBE was carried out for a relaxed RePt2 crystal.

Lattice parameters (Å, degrees): 5.144 5.144 5.144 60.00 60.00 60.00
Sites, in units of the cell vectors:
Re (0.000, 0.000, 0.000)
Re (0.250, 0.250, 0.250)
Pt (0.625, 0.625, 0.625)
Pt (0.125, 0.625, 0.625)
Pt (0.625, 0.125, 0.625)
Pt (0.625, 0.625, 0.125)

Summary:
As for the space-group type: No. 227.


(P) wins, 30.7 kJ/mol of atoms ahead of the next structure.